# 1
Below is a relaxed CrB3As crystal, with properties calculated at the PBE level.

The calculation puts the formation energy at 2.254 eV/atom. The value obtained for the volume is 65 Å³/f.u.

The structure belongs to space group Pm-3m (No. 221); the cell edges are 4.014, 4.014 and 4.014 Å and the angles 90.00°, 90.00° and 90.00°. The distinct sites, in fractional coordinates, are Cr at (0.000, 0.000, 0.000), B at (0.000, 0.500, 0.500) and As at (0.500, 0.500, 0.500).



# 2
Below is a relaxed TeP crystal, with properties calculated at the PBE level.

As for the formation energy (no corrections): 0.135 eV per atom. The value obtained for the volume is 55 Å³/f.u.

The structure belongs to space group P2_1/m (No. 11); the cell edges are 5.488, 3.224 and 6.307 Å and the angles 90.00°, 100.16° and 90.00°. The distinct sites, in fractional coordinates, are Te at (0.156, 0.250, 0.282) and P at (0.453, 0.750, 0.877).